The following is a PBE calculation of a relaxed Nd2H8Pd crystal, from Alexandria.

It has space group C2/m (No. 12), with a = 12.6146 Å, b = 4.0242 Å, c = 4.5437 Å, α = 90.00°, β = 110.97° and γ = 90.00°. The asymmetric unit holds Nd at (0.1556, 0.0000, 0.1546), H at (0.9997, 0.0000, 0.2526), H at (0.1128, 0.5000, 0.3792), H at (0.1150, 0.5000, 0.8435), H at (0.2322, 0.0000, 0.7289) and Pd at (0.0000, 0.5000, 0.5000).

For the raw total energy, the calculation gives -4.085 eV per atom. The calculated density is 6.21 g cm⁻³. The calculated volume comes out at 9.8 Å³/atom. For the total magnetic moment, the calculation gives 0.000 μB per formula unit.

=====

The following is a PBE calculation of a relaxed AcNd12Ho7 crystal, from Alexandria.

It has space group Im-3 (No. 204), with a = 11.6165 Å, b = 11.6165 Å, c = 11.6165 Å, α = 90.00°, β = 90.00° and γ = 90.00°. The asymmetric unit holds Ac at (0.0000, 0.0000, 0.0000), Nd at (0.0000, 0.2408, 0.2840), Ho at (0.0000, 0.0000, 0.5000) and Ho at (0.2500, 0.2500, 0.2500).

The calculated density is 6.59 g cm⁻³. The calculated volume comes out at 39.2 Å³/atom. The value obtained for the formation enthalpy at 0 K is 0.6425 eV per atom. For the total magnetic moment, the calculation gives 0.000 μB per formula unit.

=====

Among the records above, which one has the lowest calculated volume? Nd2H8Pd

=====

Which formula does entry 1 have? Nd2H8Pd